LaIn2Te | Alexandria | PBE-GGA | relaxed; raw formation energy = -0.41 eV/atom; magnetization = 0.00 μB/f.u.; polymorph energy (0 for the lowest one) = 245 meV per atom
1.0
-4.736 -7.275 -2.168
4.519 -4.755 6.085
-2.285 -5.257 4.167
In La Te
4 2 2
Cartesian
1.577 -5.325 4.535
-2.882 -6.326 0.486
-1.984 -14.384 6.444
-1.715 -8.538 4.702
0.000 0.000 0.000
-3.565 -9.273 1.979
-0.109 -6.015 1.958
1.062 -8.013 6.105